No. 1
First-principles (GGA-PBE) data for Mn3Pb5 after structural relaxation, as listed in the Alexandria database.

E (Ha/atom): -0.1957
Formation energy (eV/atom): 0.431

a b c (Å): 6.784 6.784 4.363
angles (deg): 90.00 90.00 98.86
Each line ends with the local moment (μB).
Fractional coordinates of all 8 atoms:
Pb1 0.711 0.711 0.500  -0.05
Mn1 0.500 0.500 0.000  3.77
Pb2 0.000 0.500 0.000  -0.06
Pb3 0.500 0.000 0.000  -0.06
Pb4 0.289 0.289 0.500  -0.05
Pb5 0.000 0.000 0.000  -0.02
Mn2 0.752 0.248 0.500  3.95
Mn3 0.248 0.752 0.500  3.95


No. 2
First-principles (GGA-PBE) data for Mn2Pb after structural relaxation, as listed in the Alexandria database.

E (Ha/atom): -0.2522
Formation energy (eV/atom): 0.486

a b c (Å): 4.204 5.847 8.751
angles (deg): 90.00 90.00 90.00
Each line ends with the local moment (μB).
Fractional coordinates of all 12 atoms:
Mn1 0.250 0.632 0.062  3.32
Mn2 0.750 0.398 0.262  3.38
Mn3 0.750 0.868 0.562  3.32
Pb1 0.750 0.843 0.891  -0.13
Mn4 0.750 0.898 0.238  3.38
Pb2 0.750 0.343 0.609  -0.13
Pb3 0.250 0.157 0.109  -0.13
Pb4 0.250 0.657 0.391  -0.13
Mn5 0.250 0.602 0.738  3.38
Mn6 0.750 0.368 0.938  3.32
Mn7 0.250 0.132 0.438  3.32
Mn8 0.250 0.102 0.762  3.38


No. 3
First-principles (GGA-PBE) data for MnPb3 after structural relaxation, as listed in the Alexandria database.

E (Ha/atom): -0.1741
Formation energy (eV/atom): 0.336

a b c (Å): 4.783 4.783 4.783
angles (deg): 90.00 90.00 90.00
Each line ends with the local moment (μB).
Fractional coordinates of all 4 atoms:
Pb1 0.000 0.500 0.500  -0.02
Pb2 0.500 0.000 0.500  -0.02
Pb3 0.500 0.500 0.000  -0.02
Mn1 0.000 0.000 0.000  4.10


No. 4
First-principles (GGA-PBE) data for Mn2Pb after structural relaxation, as listed in the Alexandria database.

E (Ha/atom): -0.2455
Formation energy (eV/atom): 0.670

a b c (Å): 4.616 4.616 3.127
angles (deg): 90.00 90.00 120.00
Each line ends with the local moment (μB).
Fractional coordinates of all 3 atoms:
Mn1 0.667 0.333 0.000  3.57
Pb1 0.000 0.000 0.500  -0.05
Mn2 0.333 0.667 0.000  3.57


No. 5
First-principles (GGA-PBE) data for Mn3Pb after structural relaxation, as listed in the Alexandria database.

E (Ha/atom): -0.2689
Formation energy (eV/atom): 0.487

a b c (Å): 3.126 3.126 6.546
angles (deg): 90.00 90.00 90.00
Each line ends with the local moment (μB).
Fractional coordinates of all 4 atoms:
Mn1 0.500 0.500 0.306  3.09
Mn2 0.000 0.000 0.500  0.68
Mn3 0.500 0.500 0.694  3.09
Pb1 0.000 0.000 0.000  -0.03


No. 6
First-principles (GGA-PBE) data for Mn5Pb after structural relaxation, as listed in the Alexandria database.

E (Ha/atom): -0.2867
Formation energy (eV/atom): 0.458

a b c (Å): 4.950 4.950 4.122
angles (deg): 90.00 90.00 120.00
Each line ends with the local moment (μB).
Fractional coordinates of all 6 atoms:
Pb1 0.000 0.000 0.000  0.00
Mn1 0.000 0.500 0.500  2.12
Mn2 0.500 0.500 0.500  2.12
Mn3 0.333 0.667 0.000  -2.18
Mn4 0.500 0.000 0.500  2.12
Mn5 0.667 0.333 0.000  -2.18


No. 7
First-principles (GGA-PBE) data for MnPb3 after structural relaxation, as listed in the Alexandria database.

E (Ha/atom): -0.1753
Formation energy (eV/atom): 0.303

a b c (Å): 10.975 10.975 10.975
angles (deg): 17.88 17.88 17.88
Each line ends with the local moment (μB).
Fractional coordinates of all 4 atoms:
Pb1 0.737 0.737 0.737  -0.07
Mn1 0.000 0.000 0.000  3.78
Pb2 0.263 0.263 0.263  -0.07
Pb3 0.500 0.500 0.500  -0.02


No. 8
First-principles (GGA-PBE) data for Mn2Pb after structural relaxation, as listed in the Alexandria database.

E (Ha/atom): -0.2503
Formation energy (eV/atom): 0.539

a b c (Å): 5.528 5.528 7.112
angles (deg): 85.65 85.65 32.41
Each line ends with the local moment (μB).
Fractional coordinates of all 6 atoms:
Pb1 0.234 0.234 0.960  -0.12
Pb2 0.979 0.979 0.606  -0.11
Mn1 0.336 0.336 0.328  3.50
Mn2 0.712 0.712 0.614  3.51
Mn3 0.963 0.963 0.046  3.67
Mn4 0.609 0.609 0.278  3.55


No. 9
First-principles (GGA-PBE) data for Mn3Pb after structural relaxation, as listed in the Alexandria database.

E (Ha/atom): -0.2698
Formation energy (eV/atom): 0.462

a b c (Å): 4.587 5.174 5.637
angles (deg): 90.00 90.00 90.00
Each line ends with the local moment (μB).
Fractional coordinates of all 8 atoms:
Pb1 0.500 0.351 0.500  -0.12
Mn1 0.000 0.141 0.750  3.31
Mn2 0.500 0.859 0.750  3.31
Mn3 0.000 0.141 0.250  3.31
Pb2 0.000 0.649 0.000  -0.12
Mn4 0.000 0.682 0.500  3.37
Mn5 0.500 0.859 0.250  3.31
Mn6 0.500 0.318 0.000  3.37


No. 10
First-principles (GGA-PBE) data for MnPdPb2 after structural relaxation, as listed in the Alexandria database.

E (Ha/atom): -0.1809
Formation energy (eV/atom): 0.523
Offset from the most stable computed form (eV per atom): 0.213

a b c (Å): 4.794 4.794 4.794
angles (deg): 60.00 60.00 60.00
Fractional coordinates of all 4 atoms:
Pb1 0.250 0.250 0.250
Pb2 0.750 0.750 0.750
Pd1 0.500 0.500 0.500
Mn1 0.000 0.000 0.000


No. 11
First-principles (GGA-PBE) data for MnPdPb2 after structural relaxation, as listed in the Alexandria database.

E (Ha/atom): -0.1887
Formation energy (eV/atom): 0.310
Offset from the most stable computed form (eV per atom): 0.000

a b c (Å): 4.500 4.500 9.913
angles (deg): 76.88 76.88 90.00
Each line ends with the local moment (μB).
Fractional coordinates of all 8 atoms:
Mn1 0.500 0.500 0.000  3.83
Pd1 0.000 0.000 0.000  -0.04
Pd2 0.750 0.250 0.500  -0.05
Mn2 0.250 0.750 0.500  3.83
Pb1 0.875 0.878 0.750  -0.08
Pb2 0.122 0.625 0.250  -0.08
Pb3 0.628 0.125 0.250  -0.08
Pb4 0.375 0.372 0.750  -0.08


No. 12
First-principles (GGA-PBE) data for MnPdPb after structural relaxation, as listed in the Alexandria database.

E (Ha/atom): -0.2110
Formation energy (eV/atom): 0.282
Offset from the most stable computed form (eV per atom): 0.247

a b c (Å): 5.712 4.665 8.436
angles (deg): 90.00 106.56 90.00
Each line ends with the local moment (μB).
Fractional coordinates of all 12 atoms:
Mn1 0.675 0.000 0.537  0.91
Mn2 0.325 0.000 0.463  0.91
Pd1 0.157 0.500 0.267  -0.01
Pd2 0.843 0.500 0.733  -0.01
Pd3 0.843 0.000 0.233  -0.01
Mn3 0.675 0.500 0.037  0.91
Mn4 0.325 0.500 0.963  0.91
Pb1 0.709 0.000 0.876  -0.04
Pb2 0.291 0.500 0.624  -0.04
Pd4 0.157 0.000 0.767  -0.01
Pb3 0.291 0.000 0.124  -0.04
Pb4 0.709 0.500 0.376  -0.04


No. 13
First-principles (GGA-PBE) data for MnPdPb after structural relaxation, as listed in the Alexandria database.

E (Ha/atom): -0.2149
Formation energy (eV/atom): 0.175
Offset from the most stable computed form (eV per atom): 0.140

a b c (Å): 3.327 4.553 8.741
angles (deg): 78.57 90.12 68.44
Fractional coordinates of all 6 atoms:
Pd1 0.999 0.001 0.660
Pb1 0.323 0.353 0.834
Mn1 0.688 0.626 0.532
Pb2 0.677 0.647 0.166
Mn2 0.312 0.374 0.468
Pd2 0.001 0.999 0.340


No. 14
First-principles (GGA-PBE) data for MnPdPb after structural relaxation, as listed in the Alexandria database.

E (Ha/atom): -0.2196
Formation energy (eV/atom): 0.048
Offset from the most stable computed form (eV per atom): 0.013

a b c (Å): 5.745 5.928 9.019
angles (deg): 90.00 129.62 90.00
Each line ends with the local moment (μB).
Fractional coordinates of all 12 atoms:
Mn1 0.915 0.750 0.687  3.95
Mn2 0.915 0.750 0.187  3.95
Pd1 0.415 0.500 0.437  0.25
Pd2 0.915 0.000 0.937  0.25
Mn3 0.915 0.250 0.687  3.95
Pb1 0.530 0.500 0.802  -0.03
Pb2 0.300 0.500 0.071  -0.03
Mn4 0.915 0.250 0.187  3.95
Pb3 0.300 0.000 0.571  -0.03
Pd3 0.415 0.000 0.937  0.25
Pd4 0.915 0.500 0.437  0.25
Pb4 0.530 0.000 0.302  -0.03


No. 15
First-principles (GGA-PBE) data for MnPd5Pb after structural relaxation, as listed in the Alexandria database.

E (Ha/atom): -0.1981
Formation energy (eV/atom): 0.159
Offset from the most stable computed form (eV per atom): 0.358

a b c (Å): 7.374 6.989 5.716
angles (deg): 127.69 130.17 90.00
Each line ends with the local moment (μB).
Fractional coordinates of all 7 atoms:
Pb1 0.553 0.500 0.000  0.00
Pd1 0.096 0.187 0.000  0.11
Pd2 0.096 0.813 0.000  0.11
Pd3 0.903 0.500 0.000  0.10
Pd4 0.979 0.243 0.486  0.07
Pd5 0.493 0.757 0.514  0.07
Mn1 0.411 0.000 0.000  4.13


No. 16
First-principles (GGA-PBE) data for MnPd2Pb2 after structural relaxation, as listed in the Alexandria database.

E (Ha/atom): -0.1987
Formation energy (eV/atom): -0.013

a b c (Å): 7.016 7.016 4.272
angles (deg): 90.00 90.00 90.00
Each line ends with the local moment (μB).
Fractional coordinates of all 10 atoms:
Pb1 0.830 0.330 0.500  -0.02
Mn1 0.500 0.500 0.000  4.09
Mn2 0.000 0.000 0.000  4.09
Pb2 0.330 0.170 0.500  -0.02
Pd1 0.359 0.859 0.000  0.10
Pb3 0.670 0.830 0.500  -0.01
Pd2 0.141 0.359 0.000  0.10
Pd3 0.859 0.641 0.000  0.10
Pd4 0.641 0.141 0.000  0.10
Pb4 0.170 0.670 0.500  -0.02


No. 17
First-principles (GGA-PBE) data for MnPdPb after structural relaxation, as listed in the Alexandria database.

E (Ha/atom): -0.2174
Formation energy (eV/atom): 0.107
Offset from the most stable computed form (eV per atom): 0.072

a b c (Å): 3.291 4.577 9.112
angles (deg): 91.74 100.52 111.06
Each line ends with the local moment (μB).
Fractional coordinates of all 6 atoms:
Pb1 0.773 0.400 0.272  -0.07
Pb2 0.352 0.823 0.002  -0.04
Pd1 0.371 0.311 0.553  0.24
Pd2 0.942 0.196 0.804  0.14
Mn1 0.592 0.867 0.440  3.68
Mn2 0.157 0.753 0.680  3.76


No. 18
First-principles (GGA-PBE) data for MnPd6Pb after structural relaxation, as listed in the Alexandria database.

E (Ha/atom): -0.2111
Formation energy (eV/atom): -0.240

a b c (Å): 4.026 4.026 8.008
angles (deg): 90.00 90.00 90.00
Each line ends with the local moment (μB).
Fractional coordinates of all 8 atoms:
Pd1 0.000 0.500 0.737  0.12
Pd2 0.500 0.500 0.500  0.16
Pb1 0.000 0.000 0.000  0.00
Pd3 0.000 0.500 0.263  0.12
Pd4 0.500 0.500 0.000  0.06
Pd5 0.500 0.000 0.737  0.12
Mn1 0.000 0.000 0.500  3.94
Pd6 0.500 0.000 0.263  0.12


No. 19
First-principles (GGA-PBE) data for MnPdPb after structural relaxation, as listed in the Alexandria database.

E (Ha/atom): -0.2139
Formation energy (eV/atom): 0.202
Offset from the most stable computed form (eV per atom): 0.167

a b c (Å): 4.371 3.339 7.645
angles (deg): 90.00 96.79 90.00
Fractional coordinates of all 6 atoms:
Pd1 0.690 0.750 0.724
Mn1 0.149 0.750 0.522
Pd2 0.310 0.250 0.276
Pb1 0.220 0.250 0.851
Mn2 0.851 0.250 0.478
Pb2 0.780 0.750 0.149


No. 20
First-principles (GGA-PBE) data for MnPd15Pb4 after structural relaxation, as listed in the Alexandria database.

E (Ha/atom): -0.1970
Formation energy (eV/atom): -0.265

a b c (Å): 4.082 4.082 20.281
angles (deg): 90.00 90.00 90.00
Each line ends with the local moment (μB).
Fractional coordinates of all 20 atoms:
Pd1 0.500 0.500 0.000  0.13
Pb1 0.000 0.000 0.398  0.00
Pd2 0.500 0.500 0.602  0.00
Pd3 0.000 0.500 0.296  0.01
Pb2 0.000 0.000 0.193  0.00
Mn1 0.000 0.000 0.000  3.95
Pd4 0.500 0.500 0.398  0.00
Pd5 0.000 0.500 0.092  0.10
Pd6 0.000 0.500 0.500  0.00
Pd7 0.500 0.500 0.195  0.02
Pb3 0.000 0.000 0.602  0.00
Pd8 0.000 0.500 0.908  0.10
Pb4 0.000 0.000 0.807  0.00
Pd9 0.500 0.000 0.908  0.10
Pd10 0.500 0.000 0.296  0.01
Pd11 0.000 0.500 0.704  0.01
Pd12 0.500 0.000 0.704  0.01
Pd13 0.500 0.000 0.500  0.00
Pd14 0.500 0.000 0.092  0.10
Pd15 0.500 0.500 0.805  0.02


No. 21
First-principles (GGA-PBE) data for MnPd5Pb after structural relaxation, as listed in the Alexandria database.

E (Ha/atom): -0.2112
Formation energy (eV/atom): -0.199
Offset from the most stable computed form (eV per atom): 0.000

a b c (Å): 3.950 3.950 7.863
angles (deg): 90.00 90.00 90.00
Each line ends with the local moment (μB).
Fractional coordinates of all 7 atoms:
Mn1 0.000 0.000 0.500  3.88
Pd1 0.500 0.000 0.253  0.04
Pd2 0.500 0.000 0.747  0.04
Pd3 0.500 0.500 0.500  0.08
Pd4 0.000 0.500 0.747  0.04
Pb1 0.500 0.500 0.000  -0.03
Pd5 0.000 0.500 0.253  0.04


No. 22
First-principles (GGA-PBE) data for MnPdPb after structural relaxation, as listed in the Alexandria database.

E (Ha/atom): -0.2192
Formation energy (eV/atom): 0.058
Offset from the most stable computed form (eV per atom): 0.023

a b c (Å): 3.550 3.550 9.174
angles (deg): 90.00 90.00 90.00
Each line ends with the local moment (μB).
Fractional coordinates of all 6 atoms:
Mn1 0.500 0.500 0.197  3.94
Pb1 0.500 0.500 0.884  -0.01
Pd1 0.500 0.500 0.567  0.20
Pd2 0.000 0.000 0.067  0.20
Pb2 0.000 0.000 0.384  -0.01
Mn2 0.000 0.000 0.697  3.94


No. 23
First-principles (GGA-PBE) data for Mn3Pd12Pb after structural relaxation, as listed in the Alexandria database.

E (Ha/atom): -0.2232
Formation energy (eV/atom): -0.227

a b c (Å): 3.975 3.975 15.856
angles (deg): 90.00 90.00 90.00
Each line ends with the local moment (μB).
Fractional coordinates of all 16 atoms:
Pd1 0.500 0.000 0.135  0.08
Pd2 0.000 0.500 0.621  0.17
Pb1 0.000 0.000 0.000  -0.01
Pd3 0.500 0.000 0.621  0.17
Mn1 0.000 0.000 0.500  3.91
Pd4 0.500 0.500 0.500  0.18
Pd5 0.000 0.500 0.135  0.08
Mn2 0.000 0.000 0.743  3.90
Pd6 0.500 0.000 0.379  0.17
Mn3 0.000 0.000 0.257  3.90
Pd7 0.000 0.500 0.865  0.08
Pd8 0.500 0.500 0.000  0.00
Pd9 0.000 0.500 0.379  0.17
Pd10 0.500 0.500 0.257  0.14
Pd11 0.500 0.000 0.865  0.08
Pd12 0.500 0.500 0.743  0.14


No. 24
First-principles (GGA-PBE) data for MnPdPb after structural relaxation, as listed in the Alexandria database.

E (Ha/atom): -0.2163
Formation energy (eV/atom): 0.137
Offset from the most stable computed form (eV per atom): 0.102

a b c (Å): 3.172 5.512 6.814
angles (deg): 91.23 90.45 89.90
Each line ends with the local moment (μB).
Fractional coordinates of all 6 atoms:
Pd1 0.478 0.115 0.119  0.15
Pb1 0.491 0.107 0.701  -0.07
Pd2 0.982 0.828 0.393  0.22
Mn1 0.485 0.608 0.644  3.63
Pb2 0.994 0.610 0.014  -0.04
Mn2 0.981 0.331 0.376  3.79